ZrMnNbV after structural relaxation, computed with PBE-GGA.

- density (g/cm³) = 7.43
- size of the total moment (μB per formula unit) = 1.585
- DFT formation energy (eV/atom) = 0.066

a b c (Å): 4.508 4.508 4.508
angles (deg): 60.00 60.00 60.00
Site moments in Bohr magnetons follow the coordinates.
Atoms (fractional coordinates):
Zr 0.500 0.500 0.500  0.07
V 0.250 0.250 0.250  1.14
Mn 0.750 0.750 0.750  0.30
Nb 0.000 0.000 0.000  -0.10

***

MnNb2W6 after structural relaxation, computed with PBE-GGA.

- density (g/cm³) = 14.14
- size of the total moment (μB per formula unit) = 2.713
- DFT formation energy (eV/atom) = 0.492

a b c (Å): 4.579 5.439 9.223
angles (deg): 133.09 104.32 90.07
Site moments in Bohr magnetons follow the coordinates.
Atoms (fractional coordinates):
W 0.499 0.247 0.997  -0.10
Mn 0.000 0.000 0.000  2.94
W 0.501 0.753 0.003  -0.10
W 0.296 0.934 0.592  0.03
Nb 0.102 0.677 0.204  -0.07
Nb 0.898 0.323 0.796  -0.07
W 0.303 0.467 0.606  0.01
W 0.697 0.533 0.394  0.01
W 0.704 0.066 0.408  0.03

***

no.,total energy (Ha/atom)
1,-0.337
2,-0.419